Model w:
The following is a PBE-GGA calculation of YBeCl2 after structural relaxation, from Alexandria via LeMat-Bulk.

Lattice parameters (Å, degrees): 3.3239 3.3239 8.1948 90.00 90.00 90.00
Space group P4mm (No. 99)
Symmetry-distinct sites (fractional):
Y  0.0000  0.0000  0.0000 (multiplicity 1)
Be  0.5000  0.5000  0.2329 (multiplicity 1)
Cl  0.0000  0.0000  0.3500 (multiplicity 1)
Cl  0.5000  0.5000  0.7968 (multiplicity 1)

Summary:
size of the total moment: 0.05 μB per cell
DOS at the Fermi energy: 2.24 states/eV/f.u.
crystal system: tetragonal
ρ: 3.096 g/cm³

=====

Model x:
The following is a PBE-GGA calculation of YBeCl2 after structural relaxation, from Alexandria via LeMat-Bulk.

Lattice parameters (Å, degrees): 4.3547 4.3547 4.1687 90.00 90.00 90.00
Space group P4/mmm (No. 123)
Symmetry-distinct sites (fractional):
Y  0.0000  0.0000  0.0000 (multiplicity 1)
Be  0.5000  0.5000  0.0000 (multiplicity 1)
Cl  0.0000  0.5000  0.5000 (multiplicity 2)

Summary:
size of the total moment: 0.00 μB per cell
DOS at the Fermi energy: 1.25 states/eV/f.u.
crystal system: tetragonal
ρ: 3.546 g/cm³

=====

Relative calculated energies, zero for the most stable structure, unit meV/atom: model w 0; model x 293.

=====

Model w:
The following is a PBE-GGA calculation of YBeCl2 after structural relaxation, from Alexandria via LeMat-Bulk.

Lattice parameters (Å, degrees): 10.3869 3.5904 5.2964 90.00 110.36 90.00
Space group Cm (No. 8)
Symmetry-distinct sites (fractional):
Y  0.0000  0.0000  0.0000 (multiplicity 2)
Be  0.4701  0.0000  0.4033 (multiplicity 2)
Cl  0.1963  0.5000  0.9894 (multiplicity 2)
Cl  0.3432  0.0000  0.6143 (multiplicity 2)

Summary:
size of the total moment: 0.33 μB per cell
DOS at the Fermi energy: 2.58 states/eV/f.u.
crystal system: monoclinic
ρ: 3.028 g/cm³

=====

Model x:
The following is a PBE-GGA calculation of YBeCl2 after structural relaxation, from Alexandria via LeMat-Bulk.

Lattice parameters (Å, degrees): 3.9997 4.4890 5.2053 90.00 90.22 90.00
Space group P2/m (No. 10)
Symmetry-distinct sites (fractional):
Y  0.0000  0.0000  0.0000 (multiplicity 1)
Be  0.5000  0.0000  0.5000 (multiplicity 1)
Cl  0.2254  0.5000  0.7542 (multiplicity 2)

Summary:
size of the total moment: 0.00 μB per cell
DOS at the Fermi energy: 2.36 states/eV/f.u.
crystal system: monoclinic
ρ: 3.000 g/cm³

=====

Model y:
The following is a PBE-GGA calculation of YBeCl2 after structural relaxation, from Alexandria via LeMat-Bulk.

Lattice parameters (Å, degrees): 6.9650 6.9650 6.9650 90.00 90.00 90.00
Space group F-43m (No. 216)
Symmetry-distinct sites (fractional):
Y  0.0000  0.0000  0.0000 (multiplicity 4)
Be  0.2500  0.2500  0.2500 (multiplicity 4)
Cl  0.0000  0.0000  0.5000 (multiplicity 4)
Cl  0.2500  0.2500  0.7500 (multiplicity 4)

Summary:
size of the total moment: 2.09 μB per cell
DOS at the Fermi energy: 3.51 states/eV/f.u.
crystal system: cubic
ρ: 3.319 g/cm³

=====

Relative calculated energies, zero for the most stable structure, unit meV/atom: model w 0; model x 359; model y 687.

=====

Model w:
The following is a PBE-GGA calculation of YBeCl2 after structural relaxation, from Alexandria via LeMat-Bulk.

Lattice parameters (Å, degrees): 6.8394 6.8394 6.8394 90.00 90.00 90.00
Space group Fm-3m (No. 225)
Symmetry-distinct sites (fractional):
Y  0.0000  0.0000  0.0000 (multiplicity 4)
Be  0.0000  0.0000  0.5000 (multiplicity 4)
Cl  0.2500  0.2500  0.2500 (multiplicity 8)

Summary:
size of the total moment: 2.85 μB per cell
DOS at the Fermi energy: 2.80 states/eV/f.u.
crystal system: cubic
ρ: 3.505 g/cm³

=====

Model x:
The following is a PBE-GGA calculation of YBeCl2 after structural relaxation, from Alexandria via LeMat-Bulk.

Lattice parameters (Å, degrees): 6.3267 8.7983 3.6554 90.00 122.22 90.00
Space group C2/m (No. 12)
Symmetry-distinct sites (fractional):
Y  0.0000  0.0000  0.0000 (multiplicity 2)
Be  0.0000  0.5000  0.0000 (multiplicity 2)
Cl  0.2500  0.2500  0.0000 (multiplicity 4)

Summary:
size of the total moment: 0.01 μB per cell
DOS at the Fermi energy: 2.23 states/eV/f.u.
crystal system: monoclinic
ρ: 3.257 g/cm³

=====

Model y:
The following is a PBE-GGA calculation of YBeCl2 after structural relaxation, from Alexandria via LeMat-Bulk.

Lattice parameters (Å, degrees): 5.7488 5.7488 10.6442 90.00 90.00 90.00
Space group I-42d (No. 122)
Symmetry-distinct sites (fractional):
Y  0.0000  0.0000  0.0000 (multiplicity 4)
Be  0.0000  0.0000  0.5000 (multiplicity 4)
Cl  0.1455  0.2500  0.6250 (multiplicity 8)

Summary:
size of the total moment: 4.06 μB per cell
DOS at the Fermi energy: 2.21 states/eV/f.u.
crystal system: tetragonal
ρ: 3.188 g/cm³

=====

Model z:
The following is a PBE-GGA calculation of YBeCl2 after structural relaxation, from Alexandria via LeMat-Bulk.

Lattice parameters (Å, degrees): 3.3205 4.7130 13.1901 90.00 90.00 90.00
Space group Imm2 (No. 44)
Symmetry-distinct sites (fractional):
Y  0.0000  0.0000  0.0000 (multiplicity 2)
Be  0.0000  0.5000  0.3181 (multiplicity 2)
Cl  0.0000  0.0000  0.4745 (multiplicity 2)
Cl  0.0000  0.5000  0.6652 (multiplicity 2)

Summary:
size of the total moment: 0.00 μB per cell
DOS at the Fermi energy: 1.72 states/eV/f.u.
crystal system: orthorhombic
ρ: 2.716 g/cm³

=====

Relative calculated energies, zero for the most stable structure, unit meV/atom: model w 188; model x 82; model y 383; model z 0.

=====

Model w:
The following is a PBE-GGA calculation of YBeCl2 after structural relaxation, from Alexandria via LeMat-Bulk.

Lattice parameters (Å, degrees): 3.3183 3.3183 9.6976 90.00 90.00 90.00
Space group P4/mmm (No. 123)
Symmetry-distinct sites (fractional):
Y  0.0000  0.0000  0.0000 (multiplicity 1)
Be  0.0000  0.0000  0.5000 (multiplicity 1)
Cl  0.5000  0.5000  0.1645 (multiplicity 2)

Summary:
size of the total moment: 0.00 μB per cell
DOS at the Fermi energy: 2.15 states/eV/f.u.
crystal system: tetragonal
ρ: 2.625 g/cm³

=====

Model x:
The following is a PBE-GGA calculation of YBeCl2 after structural relaxation, from Alexandria via LeMat-Bulk.

Lattice parameters (Å, degrees): 4.3928 4.3928 8.1837 90.00 90.00 90.00
Space group I4/mmm (No. 139)
Symmetry-distinct sites (fractional):
Y  0.0000  0.0000  0.0000 (multiplicity 2)
Be  0.0000  0.0000  0.5000 (multiplicity 2)
Cl  0.0000  0.5000  0.2500 (multiplicity 4)

Summary:
size of the total moment: 0.00 μB per cell
DOS at the Fermi energy: 2.15 states/eV/f.u.
crystal system: tetragonal
ρ: 3.550 g/cm³

=====

Relative calculated energies, zero for the most stable structure, unit meV/atom: model w 0; model x 56.

=====

Model w:
The following is a PBE-GGA calculation of YBeCl2 after structural relaxation, from Alexandria via LeMat-Bulk.

Lattice parameters (Å, degrees): 3.5703 3.4585 8.2510 90.00 90.27 90.00
Space group Pm (No. 6)
Symmetry-distinct sites (fractional):
Y  0.0000  0.0000  0.0000 (multiplicity 1)
Be  0.4976  0.5000  0.7966 (multiplicity 1)
Cl  0.0019  0.5000  0.2426 (multiplicity 1)
Cl  0.4948  0.0000  0.6551 (multiplicity 1)

Summary:
size of the total moment: 0.45 μB per cell
DOS at the Fermi energy: 1.20 states/eV/f.u.
crystal system: monoclinic
ρ: 2.752 g/cm³

=====

Model x:
The following is a PBE-GGA calculation of YBeCl2 after structural relaxation, from Alexandria via LeMat-Bulk.

Lattice parameters (Å, degrees): 3.9162 3.9162 10.2989 90.00 90.00 90.00
Space group I-4m2 (No. 119)
Symmetry-distinct sites (fractional):
Y  0.0000  0.0000  0.0000 (multiplicity 2)
Be  0.0000  0.5000  0.7500 (multiplicity 2)
Cl  0.0000  0.0000  0.5000 (multiplicity 2)
Cl  0.0000  0.5000  0.2500 (multiplicity 2)

Summary:
size of the total moment: 0.00 μB per cell
DOS at the Fermi energy: 2.39 states/eV/f.u.
crystal system: tetragonal
ρ: 3.550 g/cm³

=====

Model y:
The following is a PBE-GGA calculation of YBeCl2 after structural relaxation, from Alexandria via LeMat-Bulk.

Lattice parameters (Å, degrees): 3.5885 4.2495 5.2558 90.00 90.00 90.00
Space group Pmmm (No. 47)
Symmetry-distinct sites (fractional):
Y  0.0000  0.0000  0.0000 (multiplicity 1)
Be  0.5000  0.0000  0.5000 (multiplicity 1)
Cl  0.0000  0.5000  0.5000 (multiplicity 1)
Cl  0.5000  0.5000  0.0000 (multiplicity 1)

Summary:
size of the total moment: 0.00 μB per cell
DOS at the Fermi energy: 2.44 states/eV/f.u.
crystal system: orthorhombic
ρ: 3.498 g/cm³

=====

Relative calculated energies, zero for the most stable structure, unit meV/atom: model w 0; model x 456; model y 406.

=====

Model w:
The following is a PBE-GGA calculation of Y2BeCl after structural relaxation, from Alexandria via LeMat-Bulk.

Lattice parameters (Å, degrees): 3.9531 3.9531 5.6149 90.00 90.00 90.00
Space group P4/mmm (No. 123)
Symmetry-distinct sites (fractional):
Y  0.0000  0.0000  0.0000 (multiplicity 1)
Y  0.5000  0.5000  0.5000 (multiplicity 1)
Be  0.0000  0.0000  0.5000 (multiplicity 1)
Cl  0.5000  0.5000  0.0000 (multiplicity 1)

Summary:
size of the total moment: 0.00 μB per cell
DOS at the Fermi energy: 2.22 states/eV/f.u.
crystal system: tetragonal
ρ: 4.206 g/cm³

=====

Model x:
The following is a PBE-GGA calculation of Y2BeCl after structural relaxation, from Alexandria via LeMat-Bulk.

Lattice parameters (Å, degrees): 4.6291 3.4318 10.9458 90.00 90.00 90.00
Space group Amm2 (No. 38)
Symmetry-distinct sites (fractional):
Y  0.0000  0.0000  0.0000 (multiplicity 2)
Y  0.5000  0.0000  0.2622 (multiplicity 2)
Be  0.5000  0.0000  0.5150 (multiplicity 2)
Cl  0.0000  0.0000  0.7489 (multiplicity 2)

Summary:
size of the total moment: 0.22 μB per cell
DOS at the Fermi energy: 3.64 states/eV/f.u.
crystal system: orthorhombic
ρ: 4.245 g/cm³

=====

Relative calculated energies, zero for the most stable structure, unit meV/atom: model w 0; model x 156.

=====

Model w:
The following is a PBE-GGA calculation of Y2BeCl after structural relaxation, from Alexandria via LeMat-Bulk.

Lattice parameters (Å, degrees): 3.5090 3.6985 14.4097 90.00 90.00 90.00
Space group Imm2 (No. 44)
Symmetry-distinct sites (fractional):
Y  0.0000  0.0000  0.0000 (multiplicity 2)
Y  0.0000  0.5000  0.2772 (multiplicity 2)
Be  0.0000  0.0000  0.4193 (multiplicity 2)
Cl  0.0000  0.5000  0.6706 (multiplicity 2)

Summary:
size of the total moment: 0.02 μB per cell
DOS at the Fermi energy: 3.68 states/eV/f.u.
crystal system: orthorhombic
ρ: 3.947 g/cm³

=====

Model x:
The following is a PBE-GGA calculation of Y2BeCl after structural relaxation, from Alexandria via LeMat-Bulk.

Lattice parameters (Å, degrees): 7.0529 7.0529 7.0529 90.00 90.00 90.00
Space group Fm-3m (No. 225)
Symmetry-distinct sites (fractional):
Y  0.2500  0.2500  0.2500 (multiplicity 8)
Be  0.0000  0.0000  0.0000 (multiplicity 4)
Cl  0.0000  0.0000  0.5000 (multiplicity 4)

Summary:
size of the total moment: 0.00 μB per cell
DOS at the Fermi energy: 4.02 states/eV/f.u.
crystal system: cubic
ρ: 4.208 g/cm³

=====

Relative calculated energies, zero for the most stable structure, unit meV/atom: model w 0; model x 168.

=====

Model w:
The following is a PBE-GGA calculation of Y2BeCl after structural relaxation, from Alexandria via LeMat-Bulk.

Lattice parameters (Å, degrees): 3.3943 3.4739 7.9194 90.00 90.00 90.00
Space group Pmmm (No. 47)
Symmetry-distinct sites (fractional):
Y  0.0000  0.0000  0.2066 (multiplicity 2)
Be  0.5000  0.5000  0.0000 (multiplicity 1)
Cl  0.5000  0.0000  0.5000 (multiplicity 1)

Summary:
size of the total moment: 0.00 μB per cell
DOS at the Fermi energy: 2.07 states/eV/f.u.
crystal system: orthorhombic
ρ: 3.953 g/cm³

=====

Model x:
The following is a PBE-GGA calculation of Y2BeCl after structural relaxation, from Alexandria via LeMat-Bulk.

Lattice parameters (Å, degrees): 7.3552 7.4452 3.3077 90.00 104.40 90.00
Space group C2/m (No. 12)
Symmetry-distinct sites (fractional):
Y  0.2500  0.2500  0.0000 (multiplicity 4)
Be  0.0000  0.0000  0.5000 (multiplicity 2)
Cl  0.0000  0.5000  0.5000 (multiplicity 2)

Summary:
size of the total moment: 0.00 μB per cell
DOS at the Fermi energy: 3.13 states/eV/f.u.
crystal system: monoclinic
ρ: 4.208 g/cm³

=====

Relative calculated energies, zero for the most stable structure, unit meV/atom: model w 0; model x 235.